The following is a PBEsol calculation of a relaxed LaP2RhO crystal, from Alexandria.

The space group is P4/mmm (No. 123) and the conventional cell measures 5.3132, 5.3132 and 4.0023 Å, with angles of 90.00, 90.00 and 90.00 degrees. The inequivalent atoms are La at (0.0000, 0.0000, 0.0000), P at (0.0000, 0.5000, 0.0000), Rh at (0.5000, 0.5000, 0.5000) and O at (0.0000, 0.0000, 0.5000).

For the raw formation energy, the calculation gives 3.4 eV per formula unit. The value obtained for the theoretical density is 4.70 g/cm3. For the total energy, the calculation gives -5.376 eV/atom. The calculation puts the polymorph energy (0 for the lowest one) at 1320 meV per atom. Its volume is 113 Å³ per cell.

=====

The following is a PBEsol calculation of a relaxed CsBAsSe2 crystal, from Alexandria.

The space group is P4/mmm (No. 123) and the conventional cell measures 5.0161, 5.0161 and 4.3355 Å, with angles of 90.00, 90.00 and 90.00 degrees. The inequivalent atoms are Cs at (0.0000, 0.0000, 0.0000), B at (0.5000, 0.5000, 0.5000), As at (0.5000, 0.5000, 0.0000) and Se at (0.0000, 0.5000, 0.5000).

For the raw formation energy, the calculation gives 1.8 eV per formula unit. The value obtained for the theoretical density is 5.73 g/cm3. For the total energy, the calculation gives -3.790 eV/atom. Its volume is 109 Å³ per cell.

=====

The following is a PBEsol calculation of a relaxed Fe3CI crystal, from Alexandria.

The space group is Pm-3m (No. 221) and the conventional cell measures 3.9066, 3.9066 and 3.9066 Å, with angles of 90.00, 90.00 and 90.00 degrees. The inequivalent atoms are Fe at (0.0000, 0.0000, 0.5000), C at (0.0000, 0.0000, 0.0000) and I at (0.5000, 0.5000, 0.5000).

For the raw formation energy, the calculation gives 2.8 eV per formula unit. The value obtained for the theoretical density is 8.54 g/cm3. For the total energy, the calculation gives -7.108 eV/atom. Its volume is 60 Å³ per cell.

=====

The following is a PBEsol calculation of a relaxed LaBeCo2 crystal, from Alexandria.

The space group is R-3m (No. 166, hexagonal axes) and the conventional cell measures 3.9329, 3.9329 and 14.3306 Å, with angles of 90.00, 90.00 and 120.00 degrees. The inequivalent atoms are La at (0.0000, 0.0000, 0.0000), Be at (0.0000, 0.0000, 0.5000) and Co at (0.0000, 0.0000, 0.1790).

The value obtained for the theoretical density is 6.90 g/cm3. The calculation puts the formation enthalpy at 0 K at -121 meV per atom. For the total energy, the calculation gives -6.326 eV/atom. Its volume is 192 Å³ per cell.

=====

The following is a PBEsol calculation of a relaxed InFeRu crystal, from Alexandria.

The space group is F-43m (No. 216) and the conventional cell measures 5.9750, 5.9750 and 5.9750 Å, with angles of 90.00, 90.00 and 90.00 degrees. The inequivalent atoms are In at (0.0000, 0.0000, 0.0000), Fe at (0.0000, 0.0000, 0.5000) and Ru at (0.2500, 0.2500, 0.2500).

The value obtained for the theoretical density is 8.46 g/cm3. The calculation puts the formation enthalpy at 0 K at 613 meV per atom. For the total energy, the calculation gives -6.760 eV/atom. Its volume is 213 Å³ per cell.

=====

The following is a PBEsol calculation of a relaxed ErAgW2O8 crystal, from Alexandria.

The space group is C2/m (No. 12) and the conventional cell measures 9.8126, 10.6474 and 7.1301 Å, with angles of 90.00, 127.21 and 90.00 degrees. The inequivalent atoms are Er at (0.0000, 0.1932, 0.0000), Ag at (0.1842, 0.0000, 0.5209), W at (0.0000, 0.3343, 0.5000), W at (0.2101, 0.5000, 0.9755), O at (0.0236, 0.5000, 0.3387), O at (0.0491, 0.2330, 0.3492), O at (0.0531, 0.0000, 0.8595), O at (0.1695, 0.3678, 0.0913) and O at (0.2284, 0.3755, 0.7590).

For the raw formation energy, the calculation gives -27.0 eV per formula unit. The value obtained for the theoretical density is 8.63 g/cm3. For the total energy, the calculation gives -8.737 eV/atom. Its volume is 593 Å³ per cell.

=====

Sequential M_tot output: 0.0, 0.0, 5.0, 0.0, 13.2, 0.0 μB/cell